KNaWO2F4 | PBE with a Hubbard U | relaxed

The structure in POSCAR format:
```
KNaWO2F4
1.0
6.120 0.000 0.000
0.000 6.120 0.000
0.000 0.000 8.414
K Na W O F
2 2 2 4 8
direct
0.250 0.750 0.000 K
0.750 0.250 0.000 K
0.250 0.250 0.274 Na
0.750 0.750 0.726 Na
0.250 0.250 0.756 W
0.750 0.750 0.244 W
0.250 0.250 0.542 O
0.250 0.250 0.978 O
0.750 0.750 0.022 O
0.750 0.750 0.458 O
0.022 0.022 0.764 F
0.022 0.478 0.764 F
0.478 0.022 0.764 F
0.478 0.478 0.764 F
0.522 0.522 0.236 F
0.522 0.978 0.236 F
0.978 0.522 0.236 F
0.978 0.978 0.236 F
```

Values from the calculation:
VASP energy   -5.464 eV/atom
SG   P4/nmm, No. 129
M_tot   0.010 μB/atom